Arrangement w

Ac2CuSe | PBE-GGA | relaxed

Properties
Density, Mg/m³: 8.05
Magnetic moment, μB/cell: 0.000
Space-group type: Cmcm (63)

Lattice parameters (Å, degrees): 12.822 12.822 4.465 90.00 90.00 160.42
Positions (direct):
Ac1 0.066 0.934 0.750
Ac2 0.318 0.682 0.750
Ac3 0.682 0.318 0.250
Ac4 0.934 0.066 0.250
Cu1 0.470 0.530 0.750
Cu2 0.530 0.470 0.250
Se1 0.193 0.807 0.750
Se2 0.807 0.193 0.250



Arrangement x

Ac2CuSe | PBE-GGA | relaxed

Properties
Density, Mg/m³: 8.65
Magnetic moment, μB/cell: 0.484
Space-group type: Fm-3m (225)

Lattice parameters (Å, degrees): 5.451 5.451 5.451 60.00 60.00 60.00
Positions (direct):
Ac1 0.250 0.250 0.250
Ac2 0.750 0.750 0.750
Cu1 0.000 0.000 0.000
Se1 0.500 0.500 0.500



Arrangement y

Ac2CuSe | PBE-GGA | relaxed

Properties
Density, Mg/m³: 7.75
Magnetic moment, μB/cell: 0.000
Space-group type: R-3m (166)

Lattice parameters (Å, degrees): 8.115 8.115 8.115 31.28 31.28 31.28
Positions (direct):
Ac1 0.247 0.247 0.247
Ac2 0.753 0.753 0.753
Cu1 0.500 0.500 0.500
Se1 0.000 0.000 0.000



Unit: kJ/mol of atoms. Relative energies: arrangement w 0.0; arrangement x 30.2; arrangement y 5.0.



Arrangement w

AcCuSe2 | PBE-GGA | relaxed

Properties
Density, Mg/m³: 7.10
Magnetic moment, μB/cell: 0.000
Space-group type: Pnma (62)

Lattice parameters (Å, degrees): 6.930 4.162 14.539 90.00 90.00 90.00
Positions (direct):
Ac1 0.028 0.250 0.151
Ac2 0.472 0.750 0.651
Ac3 0.528 0.250 0.349
Ac4 0.972 0.750 0.849
Cu1 0.108 0.750 0.456
Cu2 0.392 0.250 0.956
Cu3 0.608 0.750 0.044
Cu4 0.892 0.250 0.544
Se1 0.212 0.750 0.294
Se2 0.246 0.750 0.025
Se3 0.254 0.250 0.525
Se4 0.288 0.250 0.794
Se5 0.712 0.750 0.206
Se6 0.746 0.750 0.475
Se7 0.754 0.250 0.975
Se8 0.788 0.250 0.706



Arrangement x

AcCuSe2 | PBE-GGA | relaxed

Properties
Density, Mg/m³: 7.60
Magnetic moment, μB/cell: 0.000
Space-group type: I-4m2 (119)

Lattice parameters (Å, degrees): 6.763 6.763 6.763 145.65 145.65 49.37
Positions (direct):
Ac1 0.000 0.000 0.000
Cu1 0.250 0.750 0.500
Se1 0.364 0.364 0.000
Se2 0.636 0.636 0.000



Arrangement y

AcCuSe2 | PBE-GGA | relaxed

Properties
Density, Mg/m³: 5.04
Magnetic moment, μB/cell: 0.000
Space-group type: R-3m (166)

Lattice parameters (Å, degrees): 7.949 7.949 7.949 35.01 35.01 35.01
Positions (direct):
Ac1 0.000 0.000 0.000
Cu1 0.500 0.500 0.500
Se1 0.399 0.399 0.399
Se2 0.601 0.601 0.601



Unit: kJ/mol of atoms. Relative energies: arrangement w 0.0; arrangement x 10.5; arrangement y 9.7.